This record from Alexandria via LeMat-Bulk describes a geometry-optimized ThCoRh structure. The functional is GGA-PBE.

Properties
- Energy of formation: -0.49 eV per atom
- Spin magnetization: 0.00 μB/atom
- Raw total energy: -7.785 eV/atom

Cell: 3.8815 4.1747 4.1747 Å, 120.00 90.00 90.00°
With the nearest neighbours (Å) after each atom.
Atoms (fractional coordinates):
1 Rh 0.1664 0.3333 0.6667  3 Co 2.41
2 Th 0.6666 0.6667 0.3333  6 Co 3.09-3.10, 6 Rh 3.09
3 Co 0.1670 0.0000 0.0000  3 Rh 2.41